A geometry-optimized GdAlZnAg structure. Source: Alexandria, functional PBE.

Unit cell a=4.810 b=4.810 c=4.810 alpha=60.00 beta=60.00 gamma=60.00
Sites, in units of the cell vectors:
Ag  0.250  0.250  0.250
Al  0.500  0.500  0.500
Zn  0.750  0.750  0.750
Gd  0.000  0.000  0.000

Summary:
**ρ**: 7.5 Mg/m³
**SG**: F-43m, No. 216
**ΔH_f (0 K)**: -313 meV/atom


A geometry-optimized Pu2ThPd9 structure. Source: Alexandria, functional PBE.

Unit cell a=4.175 b=4.175 c=12.514 alpha=90.00 beta=90.00 gamma=90.00
Sites, in units of the cell vectors:
Pd  0.500  0.000  0.500
Pd  0.000  0.500  0.500
Pd  0.500  0.500  0.667
Pd  0.500  0.500  0.333
Pd  0.500  0.000  0.167
Pd  0.000  0.500  0.833
Pd  0.500  0.000  0.833
Pd  0.000  0.500  0.167
Pd  0.500  0.500  0.000
Pu  0.000  0.000  0.337
Pu  0.000  0.000  0.663
Th  0.000  0.000  0.000

Summary:
**ρ**: 12.8 Mg/m³
**SG**: P4/mmm, No. 123
**ΔH_f (0 K)**: -704 meV/atom


A geometry-optimized ScHg2Te structure. Source: Alexandria, functional PBE.

Unit cell a=6.615 b=6.615 c=6.615 alpha=143.37 beta=143.37 gamma=52.76
Sites, in units of the cell vectors:
Hg  0.500  0.500  0.000
Hg  0.000  0.000  0.000
Te  0.750  0.250  0.500
Sc  0.250  0.750  0.500

Summary:
**ρ**: 9.3 Mg/m³
**SG**: I4/mmm, No. 139
**ΔE_f (raw)**: -1.52 eV/f.u.


A geometry-optimized Sc2BeTe structure. Source: Alexandria, functional PBE.

Unit cell a=3.602 b=3.592 c=7.158 alpha=59.95 beta=90.00 gamma=90.00
Sites, in units of the cell vectors:
Sc  0.000  0.016  0.984
Sc  0.000  0.484  0.516
Be  0.500  0.750  0.750
Te  0.500  0.250  0.250

Summary:
**ρ**: 4.7 Mg/m³
**SG**: P2/m, No. 10
**ΔE_f (raw)**: -1.32 eV/f.u.